{
  "formula": "TlAg12Au7",
  "functional": "PBE",
  "state": "relaxed",
  "sg": "No. 148",
  "dos_ef_per_ev_cell": 6.96,
  "energy_ev_per_atom": -2.8806,
  "volume_a3_per_cell": 401.44,
  "cell": [[6.6983, 3.8673, 2.5829], [-6.6983, 3.8673, 2.5829], [0.0000, -7.7345, 2.5829]],
  "species": ["Tl", "Ag", "Ag", "Ag", "Ag", "Ag", "Ag", "Ag", "Ag", "Ag", "Ag", "Ag", "Ag", "Au", "Au", "Au", "Au", "Au", "Au", "Au"],
  "fractional_positions": [[0.0000, 0.0000, 0.0000], [0.0920, 0.3293, 0.7733], [0.1675, 0.4873, 0.5264], [0.2267, 0.9080, 0.6707], [0.3293, 0.7733, 0.0920], [0.4736, 0.8325, 0.5127], [0.4873, 0.5264, 0.1675], [0.5127, 0.4736, 0.8325], [0.5264, 0.1675, 0.4873], [0.6707, 0.2267, 0.9080], [0.7733, 0.0920, 0.3293], [0.8325, 0.5127, 0.4736], [0.9080, 0.6707, 0.2267], [0.1095, 0.4528, 0.1515], [0.1515, 0.1095, 0.4528], [0.4528, 0.1515, 0.1095], [0.5000, 0.5000, 0.5000], [0.5472, 0.8485, 0.8905], [0.8485, 0.8905, 0.5472], [0.8905, 0.5472, 0.8485]]
}

{
  "formula": "TlAgAu2",
  "functional": "PBE",
  "state": "relaxed",
  "sg": "No. 8",
  "de_polymorph_mev_per_atom": 12,
  "dos_ef_per_ev_cell": 0.62,
  "energy_ev_per_atom": -2.8802,
  "volume_a3_per_cell": 81.11,
  "cell": [[5.0677, -1.6422, 0.0000], [5.0677, 1.6422, 0.0000], [-1.3806, 0.0000, 4.8732]],
  "species": ["Tl", "Ag", "Au", "Au"],
  "fractional_positions": [[0.0000, 0.0000, 0.0000], [0.7647, 0.7647, 0.2944], [0.2451, 0.2451, 0.7700], [0.5092, 0.5092, 0.5016]]
}

{
  "formula": "TlAgAu2",
  "functional": "PBE",
  "state": "relaxed",
  "sg": "No. 6",
  "de_polymorph_mev_per_atom": 2,
  "dos_ef_per_ev_cell": 1.35,
  "energy_ev_per_atom": -2.8905,
  "volume_a3_per_cell": 84.14,
  "cell": [[3.3687, 0.0000, 0.0000], [0.0000, 4.5495, 0.0000], [-1.5850, 0.0000, 5.4897]],
  "species": ["Tl", "Ag", "Au", "Au"],
  "fractional_positions": [[0.0000, 0.0000, 0.0000], [0.7034, 0.5000, 0.3691], [0.2710, 0.0000, 0.5114], [0.4170, 0.5000, 0.8234]]
}

{
  "formula": "TlAgAu4",
  "functional": "PBE",
  "state": "relaxed",
  "sg": "No. 216",
  "dos_ef_per_ev_cell": 2.13,
  "energy_ev_per_atom": -3.0297,
  "volume_a3_per_cell": 124.69,
  "cell": [[0.0000, 3.9652, 3.9652], [3.9652, 0.0000, 3.9652], [3.9652, 3.9652, 0.0000]],
  "species": ["Tl", "Ag", "Au", "Au", "Au", "Au"],
  "fractional_positions": [[0.0000, 0.0000, 0.0000], [0.2500, 0.2500, 0.2500], [0.1262, 0.6246, 0.6246], [0.6246, 0.1262, 0.6246], [0.6246, 0.6246, 0.1262], [0.6246, 0.6246, 0.6246]]
}

{
  "formula": "Tl6AgAu",
  "functional": "PBE",
  "state": "relaxed",
  "sg": "No. 38",
  "dos_ef_per_ev_cell": 4.05,
  "energy_ev_per_atom": -2.4957,
  "volume_a3_per_cell": 227.00,
  "cell": [[4.1040, 0.0000, 0.0000], [0.0000, 4.6520, 5.9452], [0.0000, -4.6520, 5.9452]],
  "species": ["Tl", "Tl", "Tl", "Tl", "Tl", "Tl", "Ag", "Au"],
  "fractional_positions": [[0.0000, 0.0000, 0.0000], [0.0000, 0.0723, 0.4760], [0.0000, 0.4760, 0.0723], [0.5000, 0.3004, 0.7154], [0.5000, 0.7154, 0.3004], [0.5000, 0.7797, 0.7797], [0.0000, 0.5944, 0.5944], [0.5000, 0.1817, 0.1817]]
}

{
  "formula": "TlAg4Au8",
  "functional": "PBE",
  "state": "relaxed",
  "sg": "No. 25",
  "dos_ef_per_ev_cell": 6.06,
  "energy_ev_per_atom": -3.0580,
  "volume_a3_per_cell": 255.12,
  "cell": [[2.9661, 0.0000, 0.0000], [0.0000, 4.7251, 0.0000], [0.0000, 0.0000, 18.2027]],
  "species": ["Tl", "Ag", "Ag", "Ag", "Ag", "Au", "Au", "Au", "Au", "Au", "Au", "Au", "Au"],
  "fractional_positions": [[0.0000, 0.0000, 0.0000], [0.0000, 0.0000, 0.2797], [0.0000, 0.5000, 0.4656], [0.5000, 0.0000, 0.7002], [0.5000, 0.5000, 0.8902], [0.0000, 0.0000, 0.5595], [0.0000, 0.0000, 0.8407], [0.0000, 0.5000, 0.1799], [0.0000, 0.5000, 0.7488], [0.5000, 0.0000, 0.1423], [0.5000, 0.0000, 0.4188], [0.5000, 0.5000, 0.3249], [0.5000, 0.5000, 0.6074]]
}

Number 1: energy of formation 1.91 eV per formula unit. Number 2: energy of formation 0.25 eV per formula unit. Number 3: energy of formation 0.21 eV per formula unit. Number 4: energy of formation 0.15 eV per formula unit. Number 5: energy of formation 0.36 eV per formula unit. Number 6: energy of formation 0.24 eV per formula unit.